Entry 1:
Entry from the Alexandria database: a geometry-optimized Dy2PdAu8 structure (GGA-PBE).

Magnetization = 0.00 μB per cell
E_tot = -4.168 eV per atom
SG = C2/m
Formation energy from the elements = -0.48 eV/atom
Density of states at the Fermi level = 4.2 states/eV/f.u.

```
11
Lattice="7.404 -2.453 0.000 7.404 2.453 0.000 -3.104 0.000 6.068" Properties=species:S:1:pos:R:3 pbc="T T T"
Dy 2.398 0.000 1.220
Dy 9.306 0.000 4.848
Pd 5.852 0.000 3.034
Au -0.673 0.000 1.329
Au 12.377 0.000 4.739
Au 0.368 0.000 4.028
Au 3.396 0.000 4.009
Au 5.252 0.000 0.461
Au 6.451 0.000 5.607
Au 8.307 0.000 2.059
Au 11.335 0.000 2.040
```

Entry 2:
Entry from the Alexandria database: a geometry-optimized Dy4Pd12Au structure (GGA-PBE).

Magnetization = 0.00 μB per cell
E_tot = -5.706 eV per atom
SG = Im-3m
Formation energy from the elements = -0.76 eV/atom
Density of states at the Fermi level = 2.4 states/eV/f.u.

```
17
Lattice="-4.275 4.275 4.275 4.275 -4.275 4.275 4.275 4.275 -4.275" Properties=species:S:1:pos:R:3 pbc="T T T"
Dy 2.137 2.137 -2.137
Dy 2.137 -2.137 2.137
Dy -2.137 2.137 2.137
Dy 2.137 2.137 2.137
Pd 2.595 0.000 0.000
Pd 5.954 0.000 0.000
Pd 4.275 2.137 0.000
Pd 4.275 0.000 2.137
Pd 0.000 2.595 0.000
Pd 0.000 0.000 2.595
Pd 2.137 4.275 0.000
Pd 2.137 0.000 4.275
Pd 0.000 5.954 0.000
Pd 0.000 0.000 5.954
Pd 0.000 4.275 2.137
Pd 0.000 2.137 4.275
Au 0.000 0.000 0.000
```

Entry 3:
Entry from the Alexandria database: a geometry-optimized Dy2PdAu structure (GGA-PBE).

Magnetization = 0.00 μB per cell
E_tot = -5.328 eV per atom
SG = P2_1/m
Formation energy from the elements = -0.91 eV/atom
Density of states at the Fermi level = 2.1 states/eV/f.u.

```
8
Lattice="5.650 0.000 0.000 0.000 4.659 0.000 -2.513 0.000 7.077" Properties=species:S:1:pos:R:3 pbc="T T T"
Dy 0.155 1.165 3.057
Dy -1.043 1.165 6.579
Dy 4.180 3.494 0.498
Dy 2.982 3.494 4.020
Pd 0.077 3.494 4.999
Pd 3.060 1.165 2.078
Au 1.323 3.494 1.473
Au 1.815 1.165 5.603
```

Entry 4:
Entry from the Alexandria database: a geometry-optimized Dy6Pd2Au structure (GGA-PBE).

Magnetization = 0.00 μB per cell
E_tot = -5.181 eV per atom
SG = Immm
Formation energy from the elements = -0.59 eV/atom
Density of states at the Fermi level = 8.2 states/eV/f.u.

```
18
Lattice="-4.733 4.831 5.066 4.733 -4.831 5.066 4.733 4.831 -5.066" Properties=species:S:1:pos:R:3 pbc="T T T"
Dy 4.733 3.008 -2.596
Dy 2.648 1.718 0.000
Dy 6.818 1.718 0.000
Dy 1.911 4.831 -1.719
Dy 2.822 0.000 3.347
Dy 0.000 1.823 2.470
Dy 4.733 3.008 2.596
Dy 1.911 4.831 1.719
Dy 2.822 0.000 6.784
Dy -2.085 3.113 5.066
Dy 2.085 3.113 5.066
Dy 0.000 1.823 7.662
Pd 4.733 0.000 1.353
Pd 0.000 3.314 0.000
Pd 0.000 6.347 0.000
Pd 0.000 4.831 3.713
Au 0.000 0.000 0.000
Au 0.000 0.000 5.066
```

Entry 5:
Entry from the Alexandria database: a geometry-optimized DyPd7Au2 structure (GGA-PBE).

Magnetization = 0.00 μB per cell
E_tot = -4.661 eV per atom
SG = Cmmm
Formation energy from the elements = 0.09 eV/atom
Density of states at the Fermi level = 13.6 states/eV/f.u.

```
10
Lattice="3.623 -6.707 0.000 3.623 6.707 0.000 0.000 0.000 4.489" Properties=species:S:1:pos:R:3 pbc="T T T"
Dy 0.000 0.000 0.000
Pd 1.312 1.424 2.244
Pd 3.623 4.064 0.000
Pd 1.312 -1.424 2.244
Pd 3.623 0.000 2.244
Pd 5.934 1.424 2.244
Pd 3.623 -4.064 0.000
Pd 5.934 -1.424 2.244
Au 3.623 2.695 2.244
Au 3.623 -2.695 2.244
```

Entry 6:
Entry from the Alexandria database: a geometry-optimized Dy2Pd3Au4 structure (GGA-PBE).

Magnetization = 0.00 μB per cell
E_tot = -4.917 eV per atom
SG = C2/m
Formation energy from the elements = -0.71 eV/atom
Density of states at the Fermi level = 3.2 states/eV/f.u.

```
9
Lattice="4.844 -2.120 0.000 4.844 2.120 0.000 -3.289 0.000 8.216" Properties=species:S:1:pos:R:3 pbc="T T T"
Dy 0.917 0.000 1.911
Dy 5.483 0.000 6.305
Pd -0.268 0.000 4.555
Pd 4.844 0.000 0.000
Pd 6.668 0.000 3.660
Au -1.335 0.000 7.294
Au 2.583 0.000 5.434
Au 3.817 0.000 2.781
Au 7.735 0.000 0.922
```

Entry 7:
Entry from the Alexandria database: a geometry-optimized DyPd7Au3 structure (GGA-PBE).

Magnetization = 0.00 μB per cell
E_tot = -4.886 eV per atom
SG = P3m1
Formation energy from the elements = -0.27 eV/atom
Density of states at the Fermi level = 12.0 states/eV/f.u.

```
11
Lattice="5.686 0.000 0.000 -2.843 4.924 0.000 0.000 0.000 7.019" Properties=species:S:1:pos:R:3 pbc="T T T"
Dy 0.000 0.000 0.000
Pd 0.000 3.283 2.090
Pd 1.462 0.844 2.221
Pd 2.843 0.016 6.847
Pd 1.436 2.454 6.847
Pd 4.224 0.844 2.221
Pd 2.843 3.236 2.221
Pd 4.251 2.454 6.847
Au 0.000 1.653 4.490
Au -1.411 4.098 4.490
Au 1.411 4.098 4.490
```

Entry 8:
Entry from the Alexandria database: a geometry-optimized DyPd3Au6 structure (GGA-PBE).

Polymorph energy (0 for the lowest one) = 0.000 eV per atom
Magnetization = 0.00 μB per cell
E_tot = -4.331 eV per atom
SG = P2_1/m
Formation energy from the elements = -0.35 eV/atom
Density of states at the Fermi level = 4.7 states/eV/f.u.

```
20
Lattice="7.724 0.000 0.000 0.000 4.851 0.000 -3.130 0.000 9.597" Properties=species:S:1:pos:R:3 pbc="T T T"
Dy 1.138 1.213 1.264
Dy 3.455 3.638 8.333
Pd -1.005 1.213 3.216
Pd 0.112 3.638 4.454
Pd 0.183 1.213 8.932
Pd 4.410 3.638 0.665
Pd 4.482 1.213 5.143
Pd 5.598 3.638 6.381
Au -2.542 1.213 7.914
Au -0.485 1.213 5.994
Au -1.400 3.638 9.214
Au 0.635 3.638 7.290
Au 1.715 1.213 4.187
Au 2.294 3.638 2.585
Au 2.299 1.213 7.012
Au 2.878 3.638 5.410
Au 3.958 1.213 2.307
Au 5.994 1.213 0.383
Au 5.078 3.638 3.603
Au 7.136 3.638 1.683
```

Entry 9:
Entry from the Alexandria database: a geometry-optimized Dy2Pd5Au structure (GGA-PBE).

Magnetization = 0.00 μB per cell
E_tot = -5.714 eV per atom
SG = Pbam
Formation energy from the elements = -0.91 eV/atom
Density of states at the Fermi level = 1.4 states/eV/f.u.

```
16
Lattice="5.824 0.000 0.000 0.000 11.643 0.000 0.000 0.000 4.195" Properties=species:S:1:pos:R:3 pbc="T T T"
Dy 1.363 1.509 0.000
Dy 1.549 7.331 0.000
Dy 4.275 4.313 0.000
Dy 4.461 10.134 0.000
Pd 0.000 0.000 2.097
Pd 0.084 8.734 2.097
Pd 1.396 4.390 0.000
Pd 1.516 10.212 0.000
Pd 2.828 2.912 2.097
Pd 2.912 5.822 2.097
Pd 2.997 8.731 2.097
Pd 4.308 1.431 0.000
Pd 4.428 7.253 0.000
Pd 5.740 2.909 2.097
Au 0.000 5.822 2.097
Au 2.912 0.000 2.097
```

Entry 10:
Entry from the Alexandria database: a geometry-optimized DyPd5Au2 structure (GGA-PBE).

Polymorph energy (0 for the lowest one) = 0.005 eV per atom
Magnetization = 0.00 μB per cell
E_tot = -5.119 eV per atom
SG = I4/mmm
Formation energy from the elements = -0.48 eV/atom
Density of states at the Fermi level = 6.4 states/eV/f.u.

```
8
Lattice="-2.058 2.058 8.084 2.058 -2.058 8.084 2.058 2.058 -8.084" Properties=species:S:1:pos:R:3 pbc="T T T"
Dy 0.000 0.000 0.000
Pd 2.058 0.000 2.040
Pd 2.058 0.000 6.044
Pd 0.000 0.000 8.084
Pd 0.000 2.058 2.040
Pd 0.000 2.058 6.044
Au 0.000 0.000 4.066
Au 0.000 0.000 12.103
```

Entry 11:
Entry from the Alexandria database: a geometry-optimized DyPd3Au structure (GGA-PBE).

Polymorph energy (0 for the lowest one) = 0.072 eV per atom
Magnetization = 0.00 μB per cell
E_tot = -5.256 eV per atom
SG = Pmmn
Formation energy from the elements = -0.56 eV/atom
Density of states at the Fermi level = 1.3 states/eV/f.u.

```
10
Lattice="4.491 0.000 0.000 0.000 5.973 0.000 0.000 0.000 7.056" Properties=species:S:1:pos:R:3 pbc="T T T"
Dy 1.123 1.493 1.427
Dy 3.368 4.480 5.629
Pd 1.123 0.179 5.320
Pd 1.123 2.808 5.320
Pd 1.123 4.480 0.486
Pd 3.368 1.493 6.570
Pd 3.368 3.166 1.736
Pd 3.368 5.795 1.736
Au 1.123 4.480 3.161
Au 3.368 1.493 3.895
```

Entry 12:
Entry from the Alexandria database: a geometry-optimized DyPd4Au5 structure (GGA-PBE).

Polymorph energy (0 for the lowest one) = 0.118 eV per atom
Magnetization = 0.00 μB per cell
E_tot = -4.420 eV per atom
SG = Pmmn
Formation energy from the elements = -0.24 eV/atom
Density of states at the Fermi level = 3.7 states/eV/f.u.

```
20
Lattice="8.182 0.000 0.000 0.000 9.595 0.000 0.000 0.000 4.874" Properties=species:S:1:pos:R:3 pbc="T T T"
Dy 2.045 2.399 0.662
Dy 6.136 7.196 4.212
Pd 0.048 7.196 2.143
Pd 2.045 5.191 1.320
Pd 2.045 9.202 1.320
Pd 4.043 7.196 2.143
Pd 4.139 2.399 2.731
Pd 6.136 0.393 3.554
Pd 6.136 4.404 3.554
Pd 8.134 2.399 2.731
Au 0.672 4.841 3.692
Au 0.672 9.551 3.692
Au 2.045 7.196 4.301
Au 3.419 4.841 3.692
Au 3.419 9.551 3.692
Au 4.763 0.044 1.182
Au 4.763 4.754 1.182
Au 6.136 2.399 0.573
Au 7.510 0.044 1.182
Au 7.510 4.754 1.182
```

Repeat the ninth record exactly.
Entry from the Alexandria database: a geometry-optimized Dy2Pd5Au structure (GGA-PBE).

Magnetization = 0.00 μB per cell
E_tot = -5.714 eV per atom
SG = Pbam
Formation energy from the elements = -0.91 eV/atom
Density of states at the Fermi level = 1.4 states/eV/f.u.

```
16
Lattice="5.824 0.000 0.000 0.000 11.643 0.000 0.000 0.000 4.195" Properties=species:S:1:pos:R:3 pbc="T T T"
Dy 1.363 1.509 0.000
Dy 1.549 7.331 0.000
Dy 4.275 4.313 0.000
Dy 4.461 10.134 0.000
Pd 0.000 0.000 2.097
Pd 0.084 8.734 2.097
Pd 1.396 4.390 0.000
Pd 1.516 10.212 0.000
Pd 2.828 2.912 2.097
Pd 2.912 5.822 2.097
Pd 2.997 8.731 2.097
Pd 4.308 1.431 0.000
Pd 4.428 7.253 0.000
Pd 5.740 2.909 2.097
Au 0.000 5.822 2.097
Au 2.912 0.000 2.097
```